Record 1
# PBE-GGA Cs2KFeI6, relaxed
data_Cs2KFeI6
_symmetry_space_group_name_H-M 'P -3 m 1'
_symmetry_Int_Tables_number 164
_symmetry_space_group_name_Hall '-P 3 2"'
_cell_length_a 8.2577
_cell_length_b 8.2577
_cell_length_c 8.5536
_cell_angle_alpha 90.00
_cell_angle_beta 90.00
_cell_angle_gamma 120.00
loop_
_atom_site_label
_atom_site_type_symbol
_atom_site_fract_x
_atom_site_fract_y
_atom_site_fract_z
Cs1 Cs 0.3333 0.6667 0.1616
K1 K 0.0000 0.0000 0.5000
Fe1 Fe 0.0000 0.0000 0.0000
I1 I 0.1535 0.3069 0.8179
# Raw total energy: -2.9358 eV/atom
# Distance to the lowest polymorph of the same formula: 0.42 eV per formula unit

Record 2
# PBE-GGA CsKFeI4, relaxed
data_CsKFeI4
_symmetry_space_group_name_H-M 'P 1 21/m 1'
_symmetry_Int_Tables_number 11
_cell_length_a 7.979
_cell_length_b 8.320
_cell_length_c 10.537
_cell_angle_alpha 90.00
_cell_angle_beta 108.82
_cell_angle_gamma 90.00
loop_
_symmetry_equiv_pos_as_xyz
'x,y,z'
'-x,-y,-z'
'-x,y+1/2,-z'
'x,-y+1/2,z'
loop_
_atom_site_label
_atom_site_type_symbol
_atom_site_fract_x
_atom_site_fract_y
_atom_site_fract_z
Cs1 Cs 0.227 0.250 0.428
K1 K 0.276 0.250 0.950
Fe1 Fe 0.293 0.750 0.193
I1 I 0.101 0.750 0.355
I2 I 0.103 0.750 0.939
I3 I 0.492 0.000 0.757
# Raw total energy: -3.3019 eV/atom

Record 3
# PBE-GGA Cs3K3FeI8, relaxed
data_Cs3K3FeI8
_symmetry_space_group_name_H-M 'R -3 m'
_symmetry_Int_Tables_number 166
_symmetry_space_group_name_Hall '-R 3 2"'
_cell_length_a 10.2014
_cell_length_b 10.2014
_cell_length_c 26.4779
_cell_angle_alpha 90.00
_cell_angle_beta 90.00
_cell_angle_gamma 120.00
loop_
_atom_site_label
_atom_site_type_symbol
_atom_site_fract_x
_atom_site_fract_y
_atom_site_fract_z
Cs1 Cs 0.0000 0.5000 0.0000
K1 K 0.0000 0.5000 0.5000
Fe1 Fe 0.0000 0.0000 0.5000
I1 I 0.0000 0.0000 0.2412
I2 I 0.0598 0.5299 0.2291
# Raw total energy: -2.9689 eV/atom

Record 4
# PBE-GGA Cs2KFeI6, relaxed
data_Cs2KFeI6
_symmetry_space_group_name_H-M 'F m -3 m'
_symmetry_Int_Tables_number 225
_symmetry_space_group_name_Hall '-F 4 2 3'
_cell_length_a 12.382
_cell_length_b 12.382
_cell_length_c 12.382
_cell_angle_alpha 90.00
_cell_angle_beta 90.00
_cell_angle_gamma 90.00
loop_
_atom_site_label
_atom_site_type_symbol
_atom_site_fract_x
_atom_site_fract_y
_atom_site_fract_z
Cs1 Cs 0.250 0.250 0.250
K1 K 0.000 0.000 0.000
Fe1 Fe 0.000 0.000 0.500
I1 I 0.000 0.000 0.274
# Raw total energy: -2.9781 eV/atom
# Distance to the lowest polymorph of the same formula: 0.00 eV per formula unit

Record 5
# PBE-GGA CsKFe2I8, relaxed
data_CsKFe2I8
_symmetry_space_group_name_H-M 'P -3 m 1'
_symmetry_Int_Tables_number 164
_symmetry_space_group_name_Hall '-P 3 2"'
_cell_length_a 8.4752
_cell_length_b 8.4752
_cell_length_c 11.5940
_cell_angle_alpha 90.00
_cell_angle_beta 90.00
_cell_angle_gamma 120.00
loop_
_atom_site_label
_atom_site_type_symbol
_atom_site_fract_x
_atom_site_fract_y
_atom_site_fract_z
Cs1 Cs 0.0000 0.0000 0.0000
K1 K 0.0000 0.0000 0.5000
Fe1 Fe 0.3333 0.6667 0.1980
I1 I 0.1689 0.3378 0.2730
I2 I 0.3333 0.6667 0.9800
# Raw total energy: -3.2295 eV/atom

Record 6
# PBE-GGA CsLa6FeI10, relaxed
data_CsLa6FeI10
_symmetry_space_group_name_H-M 'P n m a'
_symmetry_Int_Tables_number 62
_cell_length_a 15.725
_cell_length_b 13.975
_cell_length_c 14.468
_cell_angle_alpha 90.00
_cell_angle_beta 90.00
_cell_angle_gamma 90.00
loop_
_symmetry_equiv_pos_as_xyz
'x,y,z'
'-x,-y,-z'
'-x+1/2,-y,z+1/2'
'x+1/2,y,-z+1/2'
'x+1/2,-y+1/2,-z+1/2'
'-x+1/2,y+1/2,z+1/2'
'-x,y+1/2,-z'
'x,-y+1/2,z'
loop_
_atom_site_label
_atom_site_type_symbol
_atom_site_fract_x
_atom_site_fract_y
_atom_site_fract_z
Cs1 Cs 0.088 0.250 0.006
La1 La 0.003 0.750 0.602
La2 La 0.054 0.106 0.620
La3 La 0.206 0.106 0.384
La4 La 0.236 0.750 0.104
Fe1 Fe 0.129 0.250 0.501
I1 I 0.040 0.076 0.252
I2 I 0.043 0.750 0.238
I3 I 0.124 0.581 0.003
I4 I 0.126 0.583 0.500
I5 I 0.208 0.092 0.767
I6 I 0.212 0.750 0.729
# Raw total energy: -4.2988 eV/atom

Record 7
# PBE-GGA Cs2LiFeI6, relaxed
data_Cs2LiFeI6
_symmetry_space_group_name_H-M 'I 4/m m m'
_symmetry_Int_Tables_number 139
_symmetry_space_group_name_Hall '-I 4 2'
_cell_length_a 8.269
_cell_length_b 8.269
_cell_length_c 11.709
_cell_angle_alpha 90.00
_cell_angle_beta 90.00
_cell_angle_gamma 90.00
loop_
_atom_site_label
_atom_site_type_symbol
_atom_site_fract_x
_atom_site_fract_y
_atom_site_fract_z
Cs1 Cs 0.000 0.500 0.250
Li1 Li 0.000 0.000 0.000
Fe1 Fe 0.000 0.000 0.500
I1 I 0.000 0.000 0.260
I2 I 0.241 0.241 0.500
# Raw total energy: -3.0106 eV/atom
# Distance to the lowest polymorph of the same formula: 0.00 eV per formula unit